TcIr2 | SCAN | single point on PBEsol structure

## Properties
- Energy: -59.299 eV per atom
- Relative energy among the computed polymorphs: 76.5 meV/atom
- Formation enthalpy at 0 K: -0.2125 eV per atom
- Space group: Immm, No. 71

Geometry as extended XYZ:
```
3
Lattice="-2.5253 0.8416 -0.4095 0.4750 -0.4127 -3.7773 -0.2937 -4.0485 2.3465" Properties=species:S:1:pos:R:3 pbc="T T T"
Ir -1.9095 -2.3564 -1.9237
Ir -0.4345 -1.2632 0.0834
Tc -1.0252 0.2145 -2.0934
```

=====

TcIr | SCAN | single point on PBEsol structure

## Properties
- Energy: -53.469 eV per atom
- Relative energy among the computed polymorphs: 0.0 meV/atom
- Formation enthalpy at 0 K: -0.3891 eV per atom
- Space group: Pmma, No. 51

Geometry as extended XYZ:
```
4
Lattice="-1.1280 -2.4183 -0.4400 3.8770 -1.6254 -1.0058 0.6974 -1.1536 4.5524" Properties=species:S:1:pos:R:3 pbc="T T T"
Ir 2.9238 -3.3876 2.8117
Ir 0.5226 -1.8097 0.2948
Tc 1.4316 -1.1711 2.7666
Tc 3.1428 -1.6078 0.7800
```